Record 1
The following is a DFT calculation (PBE) of crystalline Pm5ZrSn4 at its relaxed geometry.

Computed properties:
ΔH_f (0 K) in meV/atom: -335
Total energy in eV per atom: -5.17

a = 4.027 Å, b = 8.849 Å, c = 9.820 Å
α = 106.38°, β = 101.83°, γ = 90.00°
Fractional positions:
1 Pm 0.830 0.628 0.661
2 Pm 0.832 0.181 0.664
3 Pm 0.168 0.819 0.336
4 Pm 0.500 0.500 0.000
5 Pm 0.170 0.372 0.339
6 Zr 0.500 0.000 0.000
7 Sn 0.337 0.907 0.674
8 Sn 0.999 0.763 0.998
9 Sn 0.663 0.093 0.326
10 Sn 0.001 0.237 0.002

=====

Record 2
The following is a DFT calculation (PBE) of crystalline Sb4TeAu at its relaxed geometry.

Computed properties:
Total energy in eV per atom: -3.35
Formation energy (no corrections) in eV/atom: 0.4727

a = 6.209 Å, b = 6.209 Å, c = 6.209 Å
α = 60.00°, β = 60.00°, γ = 60.00°
Fractional positions:
1 Sb 0.879 0.374 0.374
2 Sb 0.374 0.374 0.879
3 Sb 0.374 0.879 0.374
4 Sb 0.374 0.374 0.374
5 Te 0.750 0.750 0.750
6 Au 0.000 0.000 0.000

=====

Record 3
The following is a DFT calculation (PBE) of crystalline PrTm2Pd at its relaxed geometry.

Computed properties:
ΔH_f (0 K) in meV/atom: -455
Total energy in eV per atom: -5.18
Energy relative to the lowest polymorph listed for this composition in eV/atom: 0.009

a = 3.764 Å, b = 6.631 Å, c = 9.123 Å
α = 90.00°, β = 90.00°, γ = 106.57°
Fractional positions:
1 Pr 0.943 0.888 0.250
2 Pr 0.057 0.112 0.750
3 Tm 0.360 0.722 0.559
4 Tm 0.640 0.278 0.441
5 Tm 0.360 0.722 0.941
6 Tm 0.640 0.278 0.059
7 Pd 0.761 0.523 0.750
8 Pd 0.239 0.477 0.250

=====

Record 4
The following is a DFT calculation (PBE) of crystalline TiNiGePd at its relaxed geometry.

Computed properties:
ΔH_f (0 K) in meV/atom: -473
Total energy in eV per atom: -6.34

a = 4.317 Å, b = 4.317 Å, c = 4.317 Å
α = 60.00°, β = 60.00°, γ = 60.00°
Fractional positions:
1 Ni 0.000 0.000 0.000
2 Ge 0.750 0.750 0.750
3 Pd 0.500 0.500 0.500
4 Ti 0.250 0.250 0.250

=====

Record 5
The following is a DFT calculation (PBE) of crystalline LaTa2Ag at its relaxed geometry.

Computed properties:
ΔH_f (0 K) in meV/atom: 660
Total energy in eV per atom: -7.21
Energy relative to the lowest polymorph listed for this composition in eV/atom: 0.401

a = 3.592 Å, b = 3.592 Å, c = 6.900 Å
α = 90.00°, β = 90.00°, γ = 90.00°
Fractional positions:
1 La 0.500 0.500 0.750
2 Ag 0.500 0.500 0.250
3 Ta 0.000 0.000 0.064
4 Ta 0.000 0.000 0.436

=====

Record 6
The following is a DFT calculation (PBE) of crystalline CsMgHgBi at its relaxed geometry.

Computed properties:
ΔH_f (0 K) in meV/atom: -359
Total energy in eV per atom: -2.02

a = 4.880 Å, b = 4.880 Å, c = 13.723 Å
α = 90.00°, β = 90.00°, γ = 90.00°
Fractional positions:
1 Cs 0.750 0.750 0.260
2 Cs 0.250 0.250 0.740
3 Mg 0.750 0.250 0.000
4 Mg 0.250 0.750 0.000
5 Hg 0.250 0.750 0.500
6 Hg 0.750 0.250 0.500
7 Bi 0.750 0.750 0.871
8 Bi 0.250 0.250 0.129